VIrRu3: optimized geometry, PBE.

a b c (Å): 4.6881 4.3385 7.2200
angles (deg): 90.00 108.19 90.00
Positions (direct):
V: 0.0092 0.2500 0.3882
V: 0.9908 0.7500 0.6118
Ir: 0.4271 0.2500 0.2027
Ir: 0.5729 0.7500 0.7973
Ru: 0.1675 0.7500 0.0062
Ru: 0.2316 0.2500 0.7984
Ru: 0.3646 0.7500 0.4064
Ru: 0.6354 0.2500 0.5936
Ru: 0.7684 0.7500 0.2016
Ru: 0.8325 0.2500 0.9938

Output
Energy of formation: -0.76 eV/f.u.
Symmetry: P2_1/m (11)
Distance to the lowest polymorph of the same formula: 0 meV per atom

---

V2IrRu: optimized geometry, PBE.

a b c (Å): 5.0576 4.2647 5.2303
angles (deg): 90.00 101.06 90.00
Positions (direct):
V: 0.0000 0.0000 0.0000
V: 0.2232 0.5000 0.8560
V: 0.4593 0.0000 0.2443
V: 0.7547 0.5000 0.6221
Ir: 0.7334 0.5000 0.1092
Ir: 0.9485 0.0000 0.4824
Ru: 0.2830 0.5000 0.3782
Ru: 0.4976 0.0000 0.7662

Output
Energy of formation: -1.15 eV/f.u.
Symmetry: Pm (6)

---

VIr3Ru2: optimized geometry, PBE.

a b c (Å): 4.5564 15.4088 2.7086
angles (deg): 90.00 90.00 90.00
Positions (direct):
V: 0.0000 0.0000 0.0000
V: 0.5000 0.5000 0.0000
Ir: 0.0000 0.1317 0.5000
Ir: 0.0000 0.5000 0.5000
Ir: 0.0000 0.8683 0.5000
Ir: 0.5000 0.0000 0.5000
Ir: 0.5000 0.3683 0.5000
Ir: 0.5000 0.6317 0.5000
Ru: 0.0000 0.3035 0.5000
Ru: 0.0000 0.6965 0.5000
Ru: 0.5000 0.1965 0.5000
Ru: 0.5000 0.8035 0.5000

Output
Energy of formation: 3.05 eV/f.u.
Symmetry: Cmmm (65)
Distance to the lowest polymorph of the same formula: 628 meV per atom

---

V3Ir4Ru3: optimized geometry, PBE.

a b c (Å): 2.7850 7.2512 7.2512
angles (deg): 88.29 90.00 90.00
Positions (direct):
V: 0.0000 0.0000 0.0000
V: 0.0000 0.5086 0.8424
V: 0.0000 0.8424 0.5086
Ir: 0.5000 0.0310 0.2958
Ir: 0.5000 0.2958 0.0310
Ir: 0.5000 0.5477 0.5477
Ir: 0.5000 0.8071 0.8071
Ru: 0.0000 0.3399 0.3399
Ru: 0.5000 0.1757 0.6590
Ru: 0.5000 0.6590 0.1757

Output
Energy of formation: -0.93 eV/f.u.
Symmetry: Amm2 (38)

---

V4Ir7Ru6: optimized geometry, PBE.

a b c (Å): 6.9302 6.9302 6.9302
angles (deg): 109.47 109.47 109.47
Positions (direct):
V: 0.0000 0.0000 0.5000
V: 0.0000 0.5000 0.0000
V: 0.5000 0.0000 0.0000
V: 0.5000 0.5000 0.5000
Ir: 0.0000 0.0000 0.0000
Ir: 0.2500 0.5000 0.7500
Ir: 0.2500 0.7500 0.5000
Ir: 0.5000 0.2500 0.7500
Ir: 0.5000 0.7500 0.2500
Ir: 0.7500 0.2500 0.5000
Ir: 0.7500 0.5000 0.2500
Ru: 0.0000 0.2970 0.2970
Ru: 0.0000 0.7030 0.7030
Ru: 0.2970 0.0000 0.2970
Ru: 0.2970 0.2970 0.0000
Ru: 0.7030 0.0000 0.7030
Ru: 0.7030 0.7030 0.0000

Output
Energy of formation: 2.51 eV/f.u.
Symmetry: Im-3m (229)

---

V2IrRu: optimized geometry, PBE.

a b c (Å): 2.8089 3.5051 5.6315
angles (deg): 90.00 90.00 90.00
Positions (direct):
V: 0.0000 0.0000 0.2464
V: 0.0000 0.0000 0.7536
Ir: 0.5000 0.5000 0.5000
Ru: 0.5000 0.5000 0.0000

Output
Energy of formation: -1.28 eV/f.u.
Symmetry: Pmmm (47)

---

V2IrRu: optimized geometry, PBE.

a b c (Å): 3.9550 3.9550 3.5426
angles (deg): 90.00 90.00 90.00
Positions (direct):
V: 0.0000 0.5000 0.0000
V: 0.5000 0.0000 0.0000
Ir: 0.0000 0.0000 0.5000
Ru: 0.5000 0.5000 0.5000

Output
Energy of formation: -1.33 eV/f.u.
Symmetry: P4/mmm (123)

---

V2IrRu: optimized geometry, PBE.

a b c (Å): 4.2745 4.9175 5.3314
angles (deg): 90.00 90.00 90.00
Positions (direct):
V: 0.0000 0.1235 0.0000
V: 0.0000 0.6283 0.7188
V: 0.5000 0.3717 0.2188
V: 0.5000 0.8765 0.5000
Ir: 0.0000 0.1582 0.4780
Ir: 0.5000 0.8418 0.9780
Ru: 0.0000 0.6537 0.2500
Ru: 0.5000 0.3463 0.7500

Output
Energy of formation: -1.25 eV/f.u.
Symmetry: Pmn2_1 (31)

---

VIrRu: optimized geometry, PBE.

a b c (Å): 2.7392 14.0783 4.3370
angles (deg): 90.00 90.00 90.00
Positions (direct):
V: 0.0000 0.1077 0.2500
V: 0.0000 0.8923 0.7500
V: 0.5000 0.3923 0.7500
V: 0.5000 0.6077 0.2500
Ir: 0.0000 0.4396 0.2500
Ir: 0.0000 0.5604 0.7500
Ir: 0.5000 0.0604 0.7500
Ir: 0.5000 0.9396 0.2500
Ru: 0.0000 0.2253 0.7500
Ru: 0.0000 0.7747 0.2500
Ru: 0.5000 0.2747 0.2500
Ru: 0.5000 0.7253 0.7500

Output
Energy of formation: -0.89 eV/f.u.
Symmetry: Cmcm (63)
Distance to the lowest polymorph of the same formula: 0 meV per atom

---

V2IrRu3: optimized geometry, PBE.

a b c (Å): 4.5622 2.8132 6.5568
angles (deg): 90.00 99.01 90.00
Positions (direct):
V: 0.2289 0.0000 0.3212
V: 0.7711 0.0000 0.6788
Ir: 0.5000 0.0000 0.0000
Ru: 0.0000 0.5000 0.0000
Ru: 0.2662 0.5000 0.6482
Ru: 0.7338 0.5000 0.3518

Output
Energy of formation: -1.36 eV/f.u.
Symmetry: P2/m (10)
Distance to the lowest polymorph of the same formula: 0 meV per atom

---

V2IrRu: optimized geometry, PBE.

a b c (Å): 2.8310 2.8310 6.9210
angles (deg): 90.00 90.00 90.00
Positions (direct):
V: 0.0000 0.0000 0.2422
V: 0.0000 0.0000 0.7578
Ir: 0.5000 0.5000 0.5000
Ru: 0.5000 0.5000 0.0000

Output
Energy of formation: -1.23 eV/f.u.
Symmetry: P4/mmm (123)

---

VIr3Ru2: optimized geometry, PBE.

a b c (Å): 6.3620 2.7731 9.6825
angles (deg): 90.00 90.57 90.00
Positions (direct):
V: 0.2105 0.2500 0.2545
V: 0.7895 0.7500 0.7455
Ir: 0.0810 0.2500 0.6142
Ir: 0.3397 0.7500 0.0554
Ir: 0.3852 0.7500 0.7506
Ir: 0.6148 0.2500 0.2494
Ir: 0.6603 0.2500 0.9446
Ir: 0.9190 0.7500 0.3858
Ru: 0.0769 0.2500 0.8889
Ru: 0.3416 0.7500 0.4481
Ru: 0.6584 0.2500 0.5519
Ru: 0.9231 0.7500 0.1111

Output
Energy of formation: -0.72 eV/f.u.
Symmetry: P2_1/m (11)
Distance to the lowest polymorph of the same formula: 0 meV per atom

---

V7Ir16Ru6: optimized geometry, PBE.

a b c (Å): 8.4923 8.4923 8.4923
angles (deg): 60.00 60.00 60.00
Positions (direct):
V: 0.0000 0.0000 0.0000
V: 0.0000 0.0000 0.5000
V: 0.0000 0.5000 0.0000
V: 0.0000 0.5000 0.5000
V: 0.5000 0.0000 0.0000
V: 0.5000 0.0000 0.5000
V: 0.5000 0.5000 0.0000
Ir: 0.0159 0.6614 0.6614
Ir: 0.1183 0.1183 0.1183
Ir: 0.1183 0.1183 0.6451
Ir: 0.1183 0.6451 0.1183
Ir: 0.3386 0.3386 0.3386
Ir: 0.3386 0.3386 0.9841
Ir: 0.3386 0.9841 0.3386
Ir: 0.3549 0.8817 0.8817
Ir: 0.6451 0.1183 0.1183
Ir: 0.6614 0.0159 0.6614
Ir: 0.6614 0.6614 0.0159
Ir: 0.6614 0.6614 0.6614
Ir: 0.8817 0.3549 0.8817
Ir: 0.8817 0.8817 0.3549
Ir: 0.8817 0.8817 0.8817
Ir: 0.9841 0.3386 0.3386
Ru: 0.3410 0.3410 0.6590
Ru: 0.3410 0.6590 0.3410
Ru: 0.3410 0.6590 0.6590
Ru: 0.6590 0.3410 0.3410
Ru: 0.6590 0.3410 0.6590
Ru: 0.6590 0.6590 0.3410

Output
Energy of formation: -0.85 eV/f.u.
Symmetry: Fm-3m (225)

---

V4Ir5Ru4: optimized geometry, PBE.

a b c (Å): 7.1701 7.1701 7.1701
angles (deg): 94.07 94.07 149.11
Positions (direct):
V: 0.1406 0.2313 0.3719
V: 0.2313 0.8594 0.0907
V: 0.7687 0.1406 0.9093
V: 0.8594 0.7687 0.6281
Ir: 0.0000 0.0000 0.0000
Ir: 0.3066 0.4551 0.7617
Ir: 0.4551 0.6934 0.1485
Ir: 0.5449 0.3066 0.8515
Ir: 0.6934 0.5449 0.2383
Ru: 0.0827 0.6107 0.6935
Ru: 0.3893 0.0827 0.4720
Ru: 0.6107 0.9173 0.5280
Ru: 0.9173 0.3893 0.3065

Output
Energy of formation: -4.08 eV/f.u.
Symmetry: I4/m (87)

---

V2IrRu: optimized geometry, PBE.

a b c (Å): 4.8038 6.8259 6.7885
angles (deg): 90.00 90.00 90.00
Positions (direct):
V: 0.0000 0.0000 0.0000
V: 0.0000 0.5000 0.5000
V: 0.2500 0.1274 0.3870
V: 0.2500 0.6274 0.8870
V: 0.5000 0.0000 0.0000
V: 0.5000 0.5000 0.5000
V: 0.7500 0.3726 0.8870
V: 0.7500 0.8726 0.3870
Ir: 0.2500 0.2665 0.7551
Ir: 0.2500 0.7665 0.2551
Ir: 0.7500 0.2335 0.2551
Ir: 0.7500 0.7335 0.7551
Ru: 0.2500 0.3777 0.1436
Ru: 0.2500 0.8777 0.6436
Ru: 0.7500 0.1223 0.6436
Ru: 0.7500 0.6223 0.1436

Output
Energy of formation: -1.51 eV/f.u.
Symmetry: Ama2 (40)

---

V2IrRu6: optimized geometry, PBE.

a b c (Å): 6.7181 6.7181 7.1313
angles (deg): 116.71 116.71 84.80
Positions (direct):
V: 0.0523 0.7343 0.8165
V: 0.2657 0.9477 0.6835
V: 0.7343 0.0523 0.3165
V: 0.9477 0.2657 0.1835
Ir: 0.0872 0.9128 0.2500
Ir: 0.9128 0.0872 0.7500
Ru: 0.1270 0.3098 0.6334
Ru: 0.2020 0.4872 0.0773
Ru: 0.3056 0.5453 0.5087
Ru: 0.3098 0.1270 0.1334
Ru: 0.4547 0.6944 0.9913
Ru: 0.4872 0.2020 0.5773
Ru: 0.5128 0.7980 0.4227
Ru: 0.5453 0.3056 0.0087
Ru: 0.6902 0.8730 0.8666
Ru: 0.6944 0.4547 0.4913
Ru: 0.7980 0.5128 0.9227
Ru: 0.8730 0.6902 0.3666

Output
Energy of formation: -0.11 eV/f.u.
Symmetry: C2/c (15)

---

V6IrRu5: optimized geometry, PBE.

a b c (Å): 6.4742 6.4742 6.5772
angles (deg): 90.02 90.02 143.19
Positions (direct):
V: 0.0000 0.0000 0.2432
V: 0.0000 0.0000 0.7568
V: 0.3323 0.6676 0.2484
V: 0.3324 0.6677 0.7516
V: 0.6676 0.3323 0.2484
V: 0.6677 0.3324 0.7516
Ir: 0.5000 0.5000 0.5000
Ru: 0.1643 0.8357 0.5000
Ru: 0.1672 0.8328 0.0000
Ru: 0.5000 0.5000 0.0000
Ru: 0.8328 0.1672 0.0000
Ru: 0.8357 0.1643 0.5000

Output
Energy of formation: -2.88 eV/f.u.
Symmetry: C2/m (12)
Distance to the lowest polymorph of the same formula: 0 meV per atom

---

V3Ir2Ru2: optimized geometry, PBE.

a b c (Å): 18.7100 3.8647 2.7157
angles (deg): 90.00 90.59 90.00
Positions (direct):
V: 0.0000 0.0000 0.0000
V: 0.1442 0.0000 0.2589
V: 0.3558 0.5000 0.7411
V: 0.5000 0.5000 0.0000
V: 0.6442 0.5000 0.2589
V: 0.8558 0.0000 0.7411
Ir: 0.2094 0.5000 0.7433
Ir: 0.2906 0.0000 0.2567
Ir: 0.7094 0.0000 0.7433
Ir: 0.7906 0.5000 0.2567
Ru: 0.0667 0.5000 0.7101
Ru: 0.4333 0.0000 0.2899
Ru: 0.5667 0.0000 0.7101
Ru: 0.9333 0.5000 0.2899

Output
Energy of formation: -1.61 eV/f.u.
Symmetry: C2/m (12)

---

V2IrRu: optimized geometry, PBE.

a b c (Å): 5.4691 5.4691 10.8154
angles (deg): 90.00 90.00 90.00
Positions (direct):
V: 0.2450 0.2500 0.1250
V: 0.2500 0.7450 0.3750
V: 0.2500 0.7550 0.8750
V: 0.2550 0.2500 0.6250
V: 0.7450 0.7500 0.6250
V: 0.7500 0.2450 0.8750
V: 0.7500 0.2550 0.3750
V: 0.7550 0.7500 0.1250
Ir: 0.0000 0.0000 0.5000
Ir: 0.0000 0.5000 0.7500
Ir: 0.5000 0.0000 0.2500
Ir: 0.5000 0.5000 0.0000
Ru: 0.0000 0.0000 0.0000
Ru: 0.0000 0.5000 0.2500
Ru: 0.5000 0.0000 0.7500
Ru: 0.5000 0.5000 0.5000

Output
Energy of formation: 3.54 eV/f.u.
Symmetry: I-42d (122)

---

VIrRu4: optimized geometry, PBE.

a b c (Å): 10.8295 3.8255 8.0999
angles (deg): 90.00 90.00 90.00
Positions (direct):
V: 0.0686 0.2500 0.0882
V: 0.4314 0.7500 0.5882
V: 0.5686 0.2500 0.4118
V: 0.9314 0.7500 0.9118
Ir: 0.1863 0.7500 0.5871
Ir: 0.3137 0.2500 0.0871
Ir: 0.6863 0.7500 0.9129
Ir: 0.8137 0.2500 0.4129
Ru: 0.0600 0.2500 0.7563
Ru: 0.0637 0.2500 0.4149
Ru: 0.1865 0.7500 0.9195
Ru: 0.1870 0.7500 0.2519
Ru: 0.3130 0.2500 0.7519
Ru: 0.3135 0.2500 0.4195
Ru: 0.4363 0.7500 0.9149
Ru: 0.4400 0.7500 0.2563
Ru: 0.5600 0.2500 0.7437
Ru: 0.5637 0.2500 0.0851
Ru: 0.6865 0.7500 0.5805
Ru: 0.6870 0.7500 0.2481
Ru: 0.8130 0.2500 0.7481
Ru: 0.8135 0.2500 0.0805
Ru: 0.9363 0.7500 0.5851
Ru: 0.9400 0.7500 0.2437

Output
Energy of formation: -0.31 eV/f.u.
Symmetry: Pnma (62)

---

It is found that the uncorrected energy values, taken in the order of the records, are -46.56, -37.52, -51.21, -91.55, -151.64, -37.65, -37.71, -37.63, -28.14, -56.29, -37.60, -54.98, -262.11, -121.97, -37.88, -82.86, -112.83, -65.24, -32.83, -55.39 eV per formula unit.
It is found that the magnetic moment values, taken in the order of the records, are 0.000, 0.000, 0.000, 0.000, 0.019, 0.000, 0.001, 0.000, 0.000, 0.000, 0.039, 0.000, 0.001, 0.000, 0.000, 0.000, 0.001, 0.004, 0.011, 0.000 Bohr magnetons per cell.